No. 1
Compound: BaTmAgTe2Se
Source: OQMD via LeMat-Bulk
Functional: GGA-PBE
Structure: optimized geometry

Output
V in Å³/atom: 29.91
VASP energy in eV/cell: -107.9
Total magnetization in Bohr magnetons per cell: 0.02

Cell lengths 4.365, 15.083, 10.905 Å; angles 90.00, 90.00, 90.00 degrees
Space group Cmcm (No. 63)
One atom of each set of equivalent atoms:
1 Ba 0.000 0.239 0.250 [4 per cell]
2 Tm 0.000 0.500 0.000 [4 per cell]
3 Ag 0.000 0.029 0.750 [4 per cell]
4 Te 0.000 0.140 0.547 [8 per cell]
5 Se 0.000 0.427 0.750 [4 per cell]

---

No. 2
Compound: BaYAgSe3
Source: OQMD via LeMat-Bulk
Functional: GGA-PBE
Structure: optimized geometry

Output
V in Å³/atom: 27.42
VASP energy in eV/cell: -123.9
Total magnetization in Bohr magnetons per cell: 0.03

Cell lengths 4.279, 14.278, 10.770 Å; angles 90.00, 90.00, 90.00 degrees
Space group Cmcm (No. 63)
One atom of each set of equivalent atoms:
1 Ba 0.000 0.250 0.250 [4 per cell]
2 Y 0.000 0.000 0.000 [4 per cell]
3 Ag 0.000 0.467 0.750 [4 per cell]
4 Se 0.000 0.079 0.750 [4 per cell]
5 Se 0.000 0.363 0.549 [8 per cell]

---

No. 3
Compound: BaYAgSe3
Source: OQMD via LeMat-Bulk
Functional: GGA-PBE
Structure: optimized geometry

Output
V in Å³/atom: 27.85
VASP energy in eV/cell: -123.0
Total magnetization in Bohr magnetons per cell: 0.01

Cell lengths 9.842, 4.320, 15.723 Å; angles 90.00, 90.00, 90.00 degrees
Space group Pnma (No. 62)
One atom of each set of equivalent atoms:
1 Ba 0.055 0.250 0.191 [4 per cell]
2 Y 0.186 0.750 0.461 [4 per cell]
3 Ag 0.144 0.250 0.635 [4 per cell]
4 Se 0.011 0.250 0.400 [4 per cell]
5 Se 0.149 0.750 0.030 [4 per cell]
6 Se 0.201 0.250 0.797 [4 per cell]

---

No. 4
Compound: Ba2Si3Ag
Source: OQMD via LeMat-Bulk
Functional: GGA-PBE
Structure: optimized geometry

Output
V in Å³/atom: 26.74
VASP energy in eV/cell: -409.0

Cell lengths 8.643, 14.984, 19.824 Å; angles 90.00, 90.00, 90.00 degrees
Space group Fddd (No. 70, origin choice 2)
One atom of each set of equivalent atoms:
1 Ba 0.125 0.125 0.000 [16 per cell]
2 Ba 0.125 0.125 0.501 [16 per cell]
3 Si 0.114 0.295 0.378 [32 per cell]
4 Si 0.125 0.284 0.125 [16 per cell]
5 Ag 0.125 0.292 0.625 [16 per cell]

---

No. 5
Compound: BaSiAg
Source: OQMD via LeMat-Bulk
Functional: GGA-PBE
Structure: optimized geometry

Output
V in Å³/atom: 30.29
VASP energy in eV/cell: -39.1

Cell lengths 7.136, 7.136, 7.136 Å; angles 90.00, 90.00, 90.00 degrees
Space group F-43m (No. 216)
One atom of each set of equivalent atoms:
1 Ba 0.000 0.000 0.000 [4 per cell]
2 Si 0.000 0.000 0.500 [4 per cell]
3 Ag 0.250 0.250 0.250 [4 per cell]

---

No. 6
Compound: Ba2SiAg
Source: OQMD via LeMat-Bulk
Functional: GGA-PBE
Structure: optimized geometry

Output
V in Å³/atom: 29.72
VASP energy in eV/cell: -47.1

Cell lengths 7.805, 7.805, 7.805 Å; angles 90.00, 90.00, 90.00 degrees
Space group F-43m (No. 216)
One atom of each set of equivalent atoms:
1 Ba 0.000 0.000 0.000 [4 per cell]
2 Ba 0.250 0.250 0.250 [4 per cell]
3 Si 0.000 0.000 0.500 [4 per cell]
4 Ag 0.250 0.250 0.750 [4 per cell]

---

No. 7
Compound: Ba4Si2Ag4Te9
Source: OQMD via LeMat-Bulk
Functional: GGA-PBE
Structure: optimized geometry

Output
V in Å³/atom: 32.48
VASP energy in eV/cell: -148.3

Cell lengths 8.726, 13.720, 10.308 Å; angles 90.00, 90.00, 90.00 degrees
Space group Pbam (No. 55)
One atom of each set of equivalent atoms:
1 Ba 0.120 0.175 0.241 [8 per cell]
2 Si 0.078 0.430 0.500 [4 per cell]
3 Ag 0.000 0.500 0.141 [4 per cell]
4 Ag 0.237 0.375 0.000 [4 per cell]
5 Te 0.000 0.000 0.000 [2 per cell]
6 Te 0.082 0.687 0.000 [4 per cell]
7 Te 0.097 0.716 0.500 [4 per cell]
8 Te 0.246 0.437 0.297 [8 per cell]

---

No. 8
Compound: BaSmAg
Source: OQMD via LeMat-Bulk
Functional: GGA-PBE
Structure: optimized geometry

Output
V in Å³/atom: 37.63
VASP energy in eV/cell: -35.9
Total magnetization in Bohr magnetons per cell: 1.83

Cell lengths 7.672, 7.672, 7.672 Å; angles 90.00, 90.00, 90.00 degrees
Space group F-43m (No. 216)
One atom of each set of equivalent atoms:
1 Ba 0.000 0.000 0.000 [4 per cell]
2 Sm 0.000 0.000 0.500 [4 per cell]
3 Ag 0.250 0.250 0.250 [4 per cell]

---

No. 9
Compound: BaAgSn2
Source: OQMD via LeMat-Bulk
Functional: GGA-PBE
Structure: optimized geometry

Output
V in Å³/atom: 29.19
VASP energy in eV/cell: -54.3

Cell lengths 7.759, 7.759, 7.759 Å; angles 90.00, 90.00, 90.00 degrees
Space group F-43m (No. 216)
One atom of each set of equivalent atoms:
1 Ba 0.000 0.000 0.000 [4 per cell]
2 Ag 0.250 0.250 0.250 [4 per cell]
3 Sn 0.000 0.000 0.500 [4 per cell]
4 Sn 0.250 0.250 0.750 [4 per cell]

---

No. 10
Compound: BaAg2Sn2
Source: OQMD via LeMat-Bulk
Functional: GGA-PBE
Structure: optimized geometry

Output
V in Å³/atom: 27.19
VASP energy in eV/cell: -35.2

Cell lengths 4.842, 4.842, 11.601 Å; angles 90.00, 90.00, 90.00 degrees
Space group I4/mmm (No. 139)
One atom of each set of equivalent atoms:
1 Ba 0.000 0.000 0.000 [2 per cell]
2 Ag 0.000 0.500 0.250 [4 per cell]
3 Sn 0.000 0.000 0.375 [4 per cell]

---

No. 11
Compound: BaZnAgSn2
Source: OQMD via LeMat-Bulk
Functional: GGA-PBE
Structure: optimized geometry

Output
V in Å³/atom: 27.21
VASP energy in eV/cell: -32.1

Cell lengths 4.824, 4.824, 11.692 Å; angles 90.00, 90.00, 90.00 degrees
Space group I-4m2 (No. 119)
One atom of each set of equivalent atoms:
1 Ba 0.000 0.000 0.000 [2 per cell]
2 Zn 0.000 0.500 0.250 [2 per cell]
3 Ag 0.000 0.500 0.750 [2 per cell]
4 Sn 0.000 0.000 0.375 [4 per cell]

---

No. 12
Compound: Ba2SrAg2
Source: OQMD via LeMat-Bulk
Functional: GGA-PBE
Structure: optimized geometry

Output
V in Å³/atom: 38.27
VASP energy in eV/cell: -24.9

Cell lengths 8.877, 8.877, 4.857 Å; angles 90.00, 90.00, 90.00 degrees
Space group P4/mbm (No. 127)
One atom of each set of equivalent atoms:
1 Ba 0.168 0.332 0.000 [4 per cell]
2 Sr 0.000 0.000 0.500 [2 per cell]
3 Ag 0.122 0.622 0.500 [4 per cell]

---

No. 13
Compound: Ba2SrAg2
Source: OQMD via LeMat-Bulk
Functional: GGA-PBE
Structure: optimized geometry

Output
V in Å³/atom: 41.57
VASP energy in eV/cell: -21.7

Cell lengths 5.702, 5.702, 12.785 Å; angles 90.00, 90.00, 90.00 degrees
Space group I4/mmm (No. 139)
One atom of each set of equivalent atoms:
1 Ba 0.000 0.000 0.142 [4 per cell]
2 Sr 0.000 0.000 0.500 [2 per cell]
3 Ag 0.000 0.500 0.250 [4 per cell]

---

No. 14
Compound: BaTa2Ag
Source: OQMD via LeMat-Bulk
Functional: GGA-PBE
Structure: optimized geometry

Output
V in Å³/atom: 22.43
VASP energy in eV/cell: -97.9
Total magnetization in Bohr magnetons per cell: 0.02

Cell lengths 7.107, 7.107, 7.107 Å; angles 90.00, 90.00, 90.00 degrees
Space group F-43m (No. 216)
One atom of each set of equivalent atoms:
1 Ba 0.000 0.000 0.000 [4 per cell]
2 Ta 0.000 0.000 0.500 [4 per cell]
3 Ta 0.250 0.250 0.750 [4 per cell]
4 Ag 0.250 0.250 0.250 [4 per cell]

---

No. 15
Compound: BaTaAg
Source: OQMD via LeMat-Bulk
Functional: GGA-PBE
Structure: optimized geometry

Output
V in Å³/atom: 35.84
VASP energy in eV/cell: -43.7
Total magnetization in Bohr magnetons per cell: 14.85

Cell lengths 7.548, 7.548, 7.548 Å; angles 90.00, 90.00, 90.00 degrees
Space group F-43m (No. 216)
One atom of each set of equivalent atoms:
1 Ba 0.000 0.000 0.000 [4 per cell]
2 Ta 0.250 0.250 0.250 [4 per cell]
3 Ag 0.250 0.250 0.750 [4 per cell]

---

No. 16
Compound: BaTaAg
Source: OQMD via LeMat-Bulk
Functional: GGA-PBE
Structure: optimized geometry

Output
V in Å³/atom: 28.11
VASP energy in eV/cell: -50.0
Total magnetization in Bohr magnetons per cell: 0.05

Cell lengths 6.961, 6.961, 6.961 Å; angles 90.00, 90.00, 90.00 degrees
Space group F-43m (No. 216)
One atom of each set of equivalent atoms:
1 Ba 0.000 0.000 0.000 [4 per cell]
2 Ta 0.250 0.250 0.750 [4 per cell]
3 Ag 0.000 0.000 0.500 [4 per cell]

---

No. 17
Compound: Ba2TaAg
Source: OQMD via LeMat-Bulk
Functional: GGA-PBE
Structure: optimized geometry

Output
V in Å³/atom: 28.78
VASP energy in eV/cell: -58.8
Total magnetization in Bohr magnetons per cell: 10.83

Cell lengths 7.722, 7.722, 7.722 Å; angles 90.00, 90.00, 90.00 degrees
Space group F-43m (No. 216)
One atom of each set of equivalent atoms:
1 Ba 0.000 0.000 0.000 [4 per cell]
2 Ba 0.250 0.250 0.250 [4 per cell]
3 Ta 0.000 0.000 0.500 [4 per cell]
4 Ag 0.250 0.250 0.750 [4 per cell]

---

No. 18
Compound: Ba2Ta2Ag
Source: OQMD via LeMat-Bulk
Functional: GGA-PBE
Structure: optimized geometry

Output
V in Å³/atom: 34.70
VASP energy in eV/cell: -48.9
Total magnetization in Bohr magnetons per cell: 2.56

Cell lengths 6.636, 6.636, 7.880 Å; angles 90.00, 90.00, 90.00 degrees
Space group I4/mmm (No. 139)
One atom of each set of equivalent atoms:
1 Ba 0.000 0.500 0.000 [4 per cell]
2 Ta 0.000 0.000 0.147 [4 per cell]
3 Ag 0.000 0.000 0.500 [2 per cell]

---

No. 19
Compound: BaTbAgTe3
Source: OQMD via LeMat-Bulk
Functional: GGA-PBE
Structure: optimized geometry

Output
V in Å³/atom: 33.87
VASP energy in eV/cell: -52.7
Total magnetization in Bohr magnetons per cell: 0.00

Cell lengths 9.157, 4.520, 10.195 Å; angles 90.00, 105.59, 90.00 degrees
Space group P2_1/m (No. 11)
One atom of each set of equivalent atoms:
1 Ba 0.205 0.250 0.255 [2 per cell]
2 Tb 0.318 0.750 0.841 [2 per cell]
3 Ag 0.081 0.250 0.589 [2 per cell]
4 Te 0.097 0.250 0.872 [2 per cell]
5 Te 0.251 0.750 0.529 [2 per cell]
6 Te 0.447 0.750 0.157 [2 per cell]

---

No. 20
Compound: BaTbAgTe3
Source: OQMD via LeMat-Bulk
Functional: GGA-PBE
Structure: optimized geometry

Output
V in Å³/atom: 33.95
VASP energy in eV/cell: -104.3
Total magnetization in Bohr magnetons per cell: 0.01

Cell lengths 19.807, 4.522, 9.298 Å; angles 90.00, 101.94, 90.00 degrees
Space group C2/m (No. 12)
One atom of each set of equivalent atoms:
1 Ba 0.132 0.000 0.074 [4 per cell]
2 Tb 0.164 0.000 0.587 [4 per cell]
3 Ag 0.035 0.500 0.708 [4 per cell]
4 Te 0.000 0.000 0.500 [2 per cell]
5 Te 0.000 0.500 0.000 [2 per cell]
6 Te 0.174 0.500 0.366 [4 per cell]
7 Te 0.181 0.500 0.821 [4 per cell]

---

No. 21
Compound: BaTcAg2
Source: OQMD via LeMat-Bulk
Functional: GGA-PBE
Structure: optimized geometry

Output
V in Å³/atom: 21.87
VASP energy in eV/cell: -58.4
Total magnetization in Bohr magnetons per cell: 10.54

Cell lengths 7.046, 7.046, 7.046 Å; angles 90.00, 90.00, 90.00 degrees
Space group F-43m (No. 216)
One atom of each set of equivalent atoms:
1 Ba 0.000 0.000 0.000 [4 per cell]
2 Tc 0.250 0.250 0.750 [4 per cell]
3 Ag 0.000 0.000 0.500 [4 per cell]
4 Ag 0.250 0.250 0.250 [4 per cell]

---

No. 22
Compound: BaAg2Te2
Source: OQMD via LeMat-Bulk
Functional: GGA-PBE
Structure: optimized geometry

Output
V in Å³/atom: 30.33
VASP energy in eV/cell: -71.2

Cell lengths 10.973, 4.653, 11.881 Å; angles 90.00, 90.00, 90.00 degrees
Space group Pnma (No. 62)
One atom of each set of equivalent atoms:
1 Ba 0.245 0.250 0.192 [4 per cell]
2 Ag 0.060 0.750 0.414 [4 per cell]
3 Ag 0.061 0.750 0.951 [4 per cell]
4 Te 0.021 0.250 0.813 [4 per cell]
5 Te 0.182 0.250 0.480 [4 per cell]

---

No. 23
Compound: Ba4AgTe3
Source: OQMD via LeMat-Bulk
Functional: GGA-PBE
Structure: optimized geometry

Output
V in Å³/atom: 43.66
VASP energy in eV/cell: -30.6

Cell lengths 7.026, 4.976, 9.992 Å; angles 90.00, 91.06, 90.00 degrees
Space group Pm (No. 6)
One atom of each set of equivalent atoms:
1 Ba 0.000 0.000 0.000 [1 per cell]
2 Ba 0.008 0.000 0.500 [1 per cell]
3 Ba 0.495 0.500 0.757 [1 per cell]
4 Ba 0.509 0.500 0.249 [1 per cell]
5 Ag 0.507 0.000 0.503 [1 per cell]
6 Te 0.009 0.500 0.251 [1 per cell]
7 Te 0.500 0.000 0.003 [1 per cell]
8 Te 0.995 0.500 0.749 [1 per cell]